[1]
Entry from OQMD via LeMat-Bulk: a relaxed Sm2GeAu crystal (PBE).

Lattice parameters (Å, degrees): 4.416 5.937 5.937 40.60 90.00 90.00
Positions (direct):
Sm: 0.000 0.000 0.000
Sm: 0.500 0.276 0.276
Ge: 0.000 0.726 0.726
Au: 0.500 0.555 0.555

Computed properties:
magnetization: 0.00 μB/cell
E: -20.63 eV per cell

[2]
Entry from OQMD via LeMat-Bulk: a relaxed TmAs crystal (PBE).

Lattice parameters (Å, degrees): 3.956 3.956 3.621 90.00 90.00 120.00
Positions (direct):
Tm: 0.000 0.000 0.000
As: 0.333 0.667 0.500

Computed properties:
magnetization: 0.00 μB/cell
E: -11.52 eV per cell

[3]
Entry from OQMD via LeMat-Bulk: a relaxed Sc3Ge3OsPd2 crystal (PBE).

Lattice parameters (Å, degrees): 3.863 6.784 6.784 120.13 90.00 90.00
Positions (direct):
Sc: 0.000 0.000 0.000
Sc: 0.000 0.431 0.842
Sc: 0.000 0.842 0.431
Ge: 0.000 0.432 0.432
Ge: 0.500 0.093 0.763
Ge: 0.500 0.763 0.093
Os: 0.500 0.672 0.672
Pd: 0.500 0.179 0.430
Pd: 0.500 0.430 0.179

Computed properties:
magnetization: 0.00 μB/cell
E: -61.84 eV per cell

[4]
Entry from OQMD via LeMat-Bulk: a relaxed Cu2Ag3 crystal (PBE).

Lattice parameters (Å, degrees): 4.862 4.862 8.838 90.77 90.77 48.02
Positions (direct):
Cu: 0.000 0.000 0.000
Cu: 0.181 0.181 0.365
Cu: 0.284 0.284 0.094
Cu: 0.583 0.583 0.182
Ag: 0.090 0.090 0.689
Ag: 0.395 0.395 0.803
Ag: 0.488 0.488 0.471
Ag: 0.696 0.696 0.908
Ag: 0.786 0.786 0.578
Ag: 0.879 0.879 0.269

Computed properties:
distance to the lowest polymorph of the same formula: 0.24 eV per formula unit
E_form: 0.081 eV per atom

[5]
Entry from OQMD via LeMat-Bulk: a relaxed NbCo2Si crystal (PBE).

Lattice parameters (Å, degrees): 4.152 4.152 4.152 60.00 60.00 60.00
Positions (direct):
Nb: 0.000 0.000 0.000
Co: 0.500 0.500 0.500
Co: 0.750 0.750 0.750
Si: 0.250 0.250 0.250

Computed properties:
distance to the lowest polymorph of the same formula: 0.74 eV per formula unit
magnetization: 0.75 μB/cell

[6]
Entry from OQMD via LeMat-Bulk: a relaxed Zr2InC crystal (PBE).

Lattice parameters (Å, degrees): 3.374 3.374 15.092 90.00 90.00 120.00
Positions (direct):
Zr: 0.333 0.667 0.082
Zr: 0.333 0.667 0.418
Zr: 0.667 0.333 0.582
Zr: 0.667 0.333 0.918
In: 0.333 0.667 0.750
In: 0.667 0.333 0.250
C: 0.000 0.000 0.000
C: 0.000 0.000 0.500

Computed properties:
magnetization: 0.00 μB/cell
E: -63.68 eV per cell

[7]
Entry from OQMD via LeMat-Bulk: a relaxed Sr2GaOsO6 crystal (PBE).

Lattice parameters (Å, degrees): 5.559 5.559 5.559 59.92 59.92 59.92
Positions (direct):
Sr: 0.250 0.250 0.250
Sr: 0.750 0.750 0.750
Ga: 0.000 0.000 0.000
Os: 0.500 0.500 0.500
O: 0.249 0.749 0.251
O: 0.251 0.249 0.749
O: 0.251 0.749 0.751
O: 0.749 0.251 0.249
O: 0.749 0.751 0.251
O: 0.751 0.251 0.749

Computed properties:
magnetization: 3.00 μB/cell
E: -67.28 eV per cell

[8]
Entry from OQMD via LeMat-Bulk: a relaxed LaGd2Sn7 crystal (PBE).

Lattice parameters (Å, degrees): 12.931 12.931 4.648 90.00 90.00 159.56
Positions (direct):
La: 0.000 0.000 0.000
Gd: 0.187 0.813 0.000
Gd: 0.813 0.187 0.000
Sn: 0.098 0.902 0.500
Sn: 0.291 0.709 0.500
Sn: 0.402 0.598 0.000
Sn: 0.500 0.500 0.500
Sn: 0.598 0.402 0.000
Sn: 0.709 0.291 0.500
Sn: 0.902 0.098 0.500

Computed properties:
magnetization: 0.00 μB/cell
E: -48.19 eV per cell

[9]
Entry from OQMD via LeMat-Bulk: a relaxed Na4ReO4 crystal (PBE).

Lattice parameters (Å, degrees): 5.693 5.722 8.837 85.87 72.87 69.00
Positions (direct):
Na: 0.044 0.242 0.426
Na: 0.179 0.777 0.208
Na: 0.249 0.246 0.005
Na: 0.456 0.252 0.594
Na: 0.544 0.748 0.406
Na: 0.751 0.754 0.995
Na: 0.821 0.223 0.792
Na: 0.956 0.758 0.574
Re: 0.371 0.762 0.781
Re: 0.629 0.238 0.219
O: 0.189 0.662 0.965
O: 0.215 0.976 0.628
O: 0.328 0.465 0.376
O: 0.427 0.029 0.208
O: 0.573 0.971 0.792
O: 0.672 0.535 0.624
O: 0.785 0.024 0.372
O: 0.811 0.338 0.035

Computed properties:
magnetization: 5.38 μB/cell
E: -98.52 eV per cell

[10]
Entry from OQMD via LeMat-Bulk: a relaxed UHg2I2 crystal (PBE).

Lattice parameters (Å, degrees): 6.850 6.850 6.850 126.23 126.23 79.51
Positions (direct):
U: 0.000 0.000 0.000
Hg: 0.298 0.298 0.000
Hg: 0.702 0.702 0.000
I: 0.000 0.500 0.500
I: 0.500 0.000 0.500

Computed properties:
magnetization: 3.92 μB/cell
E: -15.35 eV per cell

[11]
Entry from OQMD via LeMat-Bulk: a relaxed Gd2BeO4 crystal (PBE).

Lattice parameters (Å, degrees): 6.358 6.358 6.358 60.00 60.00 60.00
Positions (direct):
Gd: 0.000 0.000 0.000
Gd: 0.000 0.000 0.500
Gd: 0.000 0.500 0.000
Gd: 0.500 0.000 0.000
Be: 0.375 0.375 0.375
Be: 0.625 0.625 0.625
O: 0.257 0.257 0.257
O: 0.257 0.257 0.730
O: 0.257 0.730 0.257
O: 0.270 0.743 0.743
O: 0.730 0.257 0.257
O: 0.743 0.270 0.743
O: 0.743 0.743 0.270
O: 0.743 0.743 0.743

Computed properties:
magnetization: 0.00 μB/cell
E: -104.26 eV per cell

[12]
Entry from OQMD via LeMat-Bulk: a relaxed LaZrPO crystal (PBE).

Lattice parameters (Å, degrees): 4.155 4.155 8.490 90.00 90.00 90.00
Positions (direct):
La: 0.250 0.750 0.000
La: 0.750 0.250 0.000
Zr: 0.250 0.250 0.403
Zr: 0.750 0.750 0.597
P: 0.250 0.250 0.752
P: 0.750 0.750 0.248
O: 0.250 0.750 0.500
O: 0.750 0.250 0.500

Computed properties:
distance to the lowest polymorph of the same formula: 2.69 eV per formula unit
magnetization: 0.01 μB/cell